Pm3Sm4Rh4 after structural relaxation, computed with PBE.

abc: 3.8540 9.0029 16.1919
angles: 90.00 90.00 90.00
With the nearest neighbours (Å) after each atom.
Space group Immm (No. 71)
Inequivalent atoms, fractional coordinates:
Pm 0.0000 0.0000 0.0000 (multiplicity 2)  4 Rh 3.18
Pm 0.0000 0.5000 0.1005 (multiplicity 4)  6 Rh 3.08-3.20, 1 Pm 3.26
Sm 0.0000 0.3125 0.3346 (multiplicity 8)  4 Rh 2.81-3.12
Rh 0.0000 0.0000 0.2510 (multiplicity 4)  6 Sm 2.91-3.12, 2 Pm 3.08
Rh 0.0000 0.2190 0.5000 (multiplicity 4)  2 Sm 2.81

Calculated values
DOS(E_F)   17.539 states/eV/cell
Calculated total energy   -6.208 eV per atom
Theoretical density   8.56 Mg/m³
Energy relative to the elements   -50 kJ/mol of atoms